(1)
## Sc4ZnFe (GGA-PBEsol)

Data for a relaxed structure of Sc4ZnFe.

Computed properties:
As for the total energy: -0.4105 Ry/atom. As for the formation energy: 576 meV/atom. Its space group is F-43m, No. 216.

Cell: 5.506 5.506 5.506 Å, 60.00 60.00 60.00°
Sites, in units of the cell vectors:
Sc 0.125 0.125 0.125
Sc 0.125 0.125 0.626
Sc 0.125 0.626 0.125
Sc 0.626 0.125 0.125
Zn 0.500 0.500 0.500
Fe 0.750 0.750 0.750

(2)
## Hf2ScAs (GGA-PBEsol)

Data for a relaxed structure of Hf2ScAs.

Computed properties:
As for the total energy: -0.6121 Ry/atom. As for the formation energy: -149 meV/atom. Its space group is I-42d, No. 122.

Cell: 6.229 6.229 6.229 Å, 101.24 101.24 127.60°
Sites, in units of the cell vectors:
Hf 0.075 0.625 0.950
Hf 0.375 0.325 0.450
Hf 0.675 0.125 0.050
Hf 0.875 0.925 0.550
Sc 0.250 0.750 0.500
Sc 0.500 0.500 0.000
As 0.000 0.000 0.000
As 0.750 0.250 0.500

(3)
## BaMgP2 (GGA-PBEsol)

Data for a relaxed structure of BaMgP2.

Computed properties:
As for the total energy: -0.2995 Ry/atom. As for the formation energy: -212 meV/atom. Its space group is Cmmm, No. 65.

Cell: 5.370 5.370 3.252 Å, 90.00 90.00 92.76°
Sites, in units of the cell vectors:
Ba 0.000 0.000 0.000
Mg 0.500 0.500 0.000
P 0.000 0.500 0.500
P 0.500 0.000 0.500

(4)
## La2AlBr (GGA-PBEsol)

Data for a relaxed structure of La2AlBr.

Computed properties:
The value obtained for the energy above the most stable polymorph in this dataset is 60.0 kJ/mol of atoms. As for the total energy: -0.3224 Ry/atom. Its space group is I-42d, No. 122.

Cell: 9.197 9.197 9.197 Å, 141.29 141.29 55.89°
Sites, in units of the cell vectors:
La 0.121 0.625 0.996
La 0.375 0.371 0.496
La 0.629 0.125 0.004
La 0.875 0.879 0.504
Al 0.250 0.750 0.500
Al 0.500 0.500 0.000
Br 0.000 0.000 0.000
Br 0.750 0.250 0.500